Entry 1:
# Tb2YNpO8 (GGA-PBE, optimized geometry)
data_Tb2YNpO8
_chemical_formula_sum 'Tb2 Y1 Np1 O8'
_space_group_name_H-M_alt 'P 1'
_space_group_IT_number 1
_cell_length_a 5.101
_cell_length_b 5.108
_cell_length_c 7.030
_cell_angle_alpha 90.00
_cell_angle_beta 90.00
_cell_angle_gamma 91.06
loop_
_space_group_symop_operation_xyz
'x,y,z'
loop_
_atom_site_label
_atom_site_type_symbol
_atom_site_fract_x
_atom_site_fract_y
_atom_site_fract_z
Tb1 Tb 0.500 0.500 0.741
Tb2 Tb 0.500 0.500 0.259
O1 O 0.818 0.183 0.778
O2 O 0.692 0.693 0.500
O3 O 0.308 0.307 0.500
O4 O 0.182 0.817 0.778
O5 O 0.719 0.720 0.000
O6 O 0.182 0.817 0.222
O7 O 0.281 0.280 0.000
O8 O 0.818 0.183 0.222
Y1 Y 0.000 0.000 0.500
Np1 Np 0.000 0.000 0.000
# - E_form (uncorrected): -3.179 eV/atom

=====

Entry 2:
# TbNpZnO6 (GGA-PBE, optimized geometry)
data_TbNpZnO6
_chemical_formula_sum 'Tb2 Np2 Zn2 O12'
_space_group_name_H-M_alt 'P 1'
_space_group_IT_number 1
_cell_length_a 5.357
_cell_length_b 5.357
_cell_length_c 10.013
_cell_angle_alpha 90.00
_cell_angle_beta 90.00
_cell_angle_gamma 120.00
loop_
_space_group_symop_operation_xyz
'x,y,z'
loop_
_atom_site_label
_atom_site_type_symbol
_atom_site_fract_x
_atom_site_fract_y
_atom_site_fract_z
O1 O 0.356 0.340 0.363
O2 O 0.356 0.015 0.137
O3 O 0.340 0.356 0.863
O4 O 0.985 0.340 0.137
O5 O 0.660 0.644 0.137
O6 O 0.644 0.660 0.637
O7 O 0.660 0.015 0.363
O8 O 0.015 0.660 0.863
O9 O 0.340 0.985 0.637
O10 O 0.985 0.644 0.363
O11 O 0.015 0.356 0.637
O12 O 0.644 0.985 0.863
Np1 Np 0.333 0.667 0.750
Np2 Np 0.667 0.333 0.250
Zn1 Zn 0.333 0.667 0.250
Zn2 Zn 0.667 0.333 0.750
Tb1 Tb 0.000 0.000 0.500
Tb2 Tb 0.000 0.000 0.000
# - E_form (uncorrected): -2.543 eV/atom

=====

Entry 3:
# NpTc2O8 (GGA-PBE, optimized geometry)
data_NpTc2O8
_chemical_formula_sum 'Np1 Tc2 O8'
_space_group_name_H-M_alt 'P 1'
_space_group_IT_number 1
_cell_length_a 6.697
_cell_length_b 6.046
_cell_length_c 6.046
_cell_angle_alpha 120.00
_cell_angle_beta 90.00
_cell_angle_gamma 90.00
loop_
_space_group_symop_operation_xyz
'x,y,z'
loop_
_atom_site_label
_atom_site_type_symbol
_atom_site_fract_x
_atom_site_fract_y
_atom_site_fract_z
O1 O 0.185 0.655 0.828
O2 O 0.815 0.828 0.172
O3 O 0.541 0.333 0.667
O4 O 0.185 0.172 0.345
O5 O 0.815 0.828 0.655
O6 O 0.459 0.667 0.333
O7 O 0.815 0.345 0.172
O8 O 0.185 0.172 0.828
Np1 Np 0.000 0.000 0.000
Tc1 Tc 0.285 0.333 0.667
Tc2 Tc 0.715 0.667 0.333
# - E_form (uncorrected): -1.781 eV/atom

=====

Entry 4:
# Np2TcO11 (GGA-PBE, optimized geometry)
data_Np2TcO11
_chemical_formula_sum 'Np4 Tc2 O22'
_space_group_name_H-M_alt 'P 1'
_space_group_IT_number 1
_cell_length_a 10.526
_cell_length_b 8.461
_cell_length_c 8.461
_cell_angle_alpha 57.69
_cell_angle_beta 51.54
_cell_angle_gamma 51.54
loop_
_space_group_symop_operation_xyz
'x,y,z'
loop_
_atom_site_label
_atom_site_type_symbol
_atom_site_fract_x
_atom_site_fract_y
_atom_site_fract_z
O1 O 0.730 0.128 0.872
O2 O 0.996 0.289 0.045
O3 O 0.770 0.628 0.372
O4 O 0.741 0.729 0.973
O5 O 0.259 0.271 0.027
O6 O 0.500 0.500 0.500
O7 O 0.830 0.211 0.455
O8 O 0.670 0.045 0.289
O9 O 0.443 0.027 0.271
O10 O 0.759 0.527 0.771
O11 O 0.557 0.973 0.729
O12 O 0.496 0.545 0.789
O13 O 0.504 0.455 0.211
O14 O 0.000 0.000 0.000
O15 O 0.241 0.473 0.229
O16 O 0.230 0.372 0.628
O17 O 0.943 0.771 0.527
O18 O 0.330 0.955 0.711
O19 O 0.170 0.789 0.545
O20 O 0.270 0.872 0.128
O21 O 0.004 0.711 0.955
O22 O 0.057 0.229 0.473
Tc1 Tc 0.250 0.250 0.250
Tc2 Tc 0.750 0.750 0.750
Np1 Np 0.305 0.598 0.402
Np2 Np 0.805 0.902 0.098
Np3 Np 0.695 0.402 0.598
Np4 Np 0.195 0.098 0.902
# - E_form (uncorrected): -1.793 eV/atom

=====

Entry 5:
# NpTlTcO6 (GGA-PBE, optimized geometry)
data_NpTlTcO6
_chemical_formula_sum 'Np2 Tl2 Tc2 O12'
_space_group_name_H-M_alt 'P 1'
_space_group_IT_number 1
_cell_length_a 7.808
_cell_length_b 7.291
_cell_length_c 7.554
_cell_angle_alpha 118.85
_cell_angle_beta 121.12
_cell_angle_gamma 90.00
loop_
_space_group_symop_operation_xyz
'x,y,z'
loop_
_atom_site_label
_atom_site_type_symbol
_atom_site_fract_x
_atom_site_fract_y
_atom_site_fract_z
Tc1 Tc 0.500 0.500 0.000
Tc2 Tc 0.500 0.000 0.000
O1 O 0.806 0.076 0.251
O2 O 0.806 0.675 0.251
O3 O 0.445 0.076 0.251
O4 O 0.555 0.924 0.749
O5 O 0.169 0.919 0.337
O6 O 0.831 0.081 0.663
O7 O 0.542 0.292 0.084
O8 O 0.555 0.325 0.749
O9 O 0.458 0.708 0.916
O10 O 0.445 0.675 0.251
O11 O 0.194 0.325 0.749
O12 O 0.194 0.924 0.749
Np1 Np 0.500 0.000 0.500
Np2 Np 0.000 0.000 0.500
Tl1 Tl 0.900 0.650 0.801
Tl2 Tl 0.100 0.350 0.199
# - E_form (uncorrected): -1.881 eV/atom